DFT (GGA+U) results for a geometry-optimized MoWN2O structure.

Properties
**Total magnetic moment**: 3.8 μB per formula unit
**Total DFT energy (no corrections)**: -7.119 eV/atom

```
5
Lattice="4.0390 0.0000 0.0000 0.0000 4.0390 0.0000 0.0000 0.0000 3.8791" Properties=species:S:1:pos:R:3 pbc="T T T"
Mo 0.0000 0.0000 0.0000
W 2.0195 2.0195 1.9396
N 0.0000 2.0195 1.9396
N 2.0195 0.0000 1.9396
O 2.0195 2.0195 0.0000
```